Entry 1:
This record from the Alexandria database describes K2BiTe after structural relaxation. The functional is GGA-PBEsol.

POSCAR file:
```
K2BiTe
1.0
6.3507 0.0000 0.0000
3.1753 6.8015 0.0000
3.1753 0.0000 6.8015
Te K Bi
2 4 2
Cartesian
3.1753 0.0000 0.0000
4.7630 3.4007 3.4007
5.5568 0.1334 3.5342
5.5568 6.6680 3.2673
3.9692 3.2673 0.1334
10.3198 3.5342 6.6680
7.9383 3.4007 3.4007
0.0000 0.0000 0.0000
```

Summary:
The density of states at the Fermi level is 8.8 states/eV/cell. The space group is I-42d (122). As for the crystal system: tetragonal. As for the uncorrected formation energy: -8.1 kcal/mol of atoms.

Entry 2:
This record from the Alexandria database describes K2Bi2Te after structural relaxation. The functional is GGA-PBEsol.

POSCAR file:
```
K2Bi2Te
1.0
-0.6745 -4.7040 -2.5979
8.0677 -1.5470 0.7065
-1.3557 -3.7819 7.2000
K Bi Te
4 4 2
Cartesian
3.9843 -6.5177 5.1219
2.0533 -3.5153 0.1867
5.8821 -4.8606 1.6287
0.1554 -5.1723 3.6799
4.9089 -1.4682 1.3840
1.8032 -3.8607 6.5225
6.1614 -3.7293 5.1530
0.5506 -1.5996 2.7535
0.0000 0.0000 0.0000
3.3560 -2.6644 3.9532
```

Summary:
The density of states at the Fermi level is 7.3 states/eV/cell. The space group is P4/mbm (127). As for the crystal system: tetragonal. As for the uncorrected formation energy: -7.7 kcal/mol of atoms.